(1)
This record from Alexandria describes a relaxed structure of SrSnIO2. The functional is PBEsol.

As for the uncorrected energy: -4.168 eV/atom. The raw formation energy is -0.50 eV/atom.

It has space group P4/mmm (No. 123), with a = 4.598 Å, b = 4.598 Å, c = 6.116 Å, α = 90.00°, β = 90.00° and γ = 90.00°. The inequivalent atoms are Sr at (0.000, 0.000, 0.000), Sn at (0.500, 0.500, 0.500), I at (0.000, 0.000, 0.500) and O at (0.000, 0.500, 0.000).

=====

(2)
This record from Alexandria describes a relaxed structure of TiSnI2O. The functional is PBEsol.

As for the uncorrected energy: -4.238 eV/atom. The raw formation energy is 0.04 eV/atom.

It has space group P4/mmm (No. 123), with a = 5.965 Å, b = 5.965 Å, c = 3.974 Å, α = 90.00°, β = 90.00° and γ = 90.00°. The inequivalent atoms are Ti at (0.000, 0.000, 0.000), Sn at (0.500, 0.500, 0.500), I at (0.000, 0.500, 0.500) and O at (0.500, 0.500, 0.000).

=====

(3)
This record from Alexandria describes a relaxed structure of ZnSnIO2. The functional is PBEsol.

As for the uncorrected energy: -3.681 eV/atom. The raw formation energy is -0.06 eV/atom.

It has space group P4/mmm (No. 123), with a = 4.172 Å, b = 4.172 Å, c = 5.281 Å, α = 90.00°, β = 90.00° and γ = 90.00°. The inequivalent atoms are Zn at (0.000, 0.000, 0.000), Sn at (0.500, 0.500, 0.500), I at (0.000, 0.000, 0.500) and O at (0.000, 0.500, 0.000).

=====

(4)
This record from Alexandria describes a relaxed structure of ZrSnIO2. The functional is PBEsol.

As for the uncorrected energy: -5.347 eV/atom. The raw formation energy is -0.22 eV/atom.

It has space group P4/mmm (No. 123), with a = 4.075 Å, b = 4.075 Å, c = 6.071 Å, α = 90.00°, β = 90.00° and γ = 90.00°. The inequivalent atoms are Zr at (0.000, 0.000, 0.000), Sn at (0.500, 0.500, 0.500), I at (0.500, 0.500, 0.000) and O at (0.000, 0.500, 0.500).

=====

(5)
This record from Alexandria describes a relaxed structure of Sr3IO. The functional is PBEsol.

As for the uncorrected energy: -3.698 eV/atom. The raw formation energy is -1.19 eV/atom.

It has space group Pm-3m (No. 221), with a = 5.262 Å, b = 5.262 Å, c = 5.262 Å, α = 90.00°, β = 90.00° and γ = 90.00°. The inequivalent atoms are Sr at (0.000, 0.000, 0.500), I at (0.500, 0.500, 0.500) and O at (0.000, 0.000, 0.000).

=====

(6)
This record from Alexandria describes a relaxed structure of SrI2O6. The functional is PBEsol.

As for the uncorrected energy: -5.199 eV/atom. Its offset from the most stable computed form is 0.00 eV/f.u. The raw formation energy is -1.10 eV/atom.

It has space group C2/c (No. 15), with a = 11.874 Å, b = 7.943 Å, c = 7.752 Å, α = 90.00°, β = 126.81° and γ = 90.00°. The inequivalent atoms are Sr at (0.000, 0.145, 0.250), I at (0.181, 0.471, 0.704), O at (0.080, 0.338, 0.064), O at (0.140, 0.053, 0.649) and O at (0.179, 0.391, 0.477).

=====

(7)
This record from Alexandria describes a relaxed structure of SrI2O6. The functional is PBEsol.

As for the uncorrected energy: -5.187 eV/atom. Its offset from the most stable computed form is 0.11 eV/f.u. The raw formation energy is -1.09 eV/atom.

It has space group P2_12_12_1 (No. 19), with a = 5.905 Å, b = 5.941 Å, c = 17.454 Å, α = 90.00°, β = 90.00° and γ = 90.00°. The inequivalent atoms are Sr at (0.202, 0.204, 0.096), I at (0.060, 0.837, 0.925), I at (0.241, 0.258, 0.781), O at (0.018, 0.549, 0.286), O at (0.024, 0.443, 0.821), O at (0.030, 0.570, 0.513), O at (0.127, 0.432, 0.654), O at (0.132, 0.131, 0.529) and O at (0.179, 0.888, 0.372).

=====

(8)
This record from Alexandria describes a relaxed structure of SrI2O6. The functional is PBEsol.

As for the uncorrected energy: -5.189 eV/atom. Its offset from the most stable computed form is 0.09 eV/f.u. The raw formation energy is -1.09 eV/atom.

It has space group P2_1/c (No. 14), with a = 7.242 Å, b = 11.438 Å, c = 8.994 Å, α = 90.00°, β = 126.54° and γ = 90.00°. The inequivalent atoms are Sr at (0.239, 0.094, 0.235), I at (0.265, 0.076, 0.790), I at (0.300, 0.718, 0.759), O at (0.062, 0.543, 0.218), O at (0.072, 0.202, 0.701), O at (0.102, 0.611, 0.590), O at (0.401, 0.093, 0.040), O at (0.437, 0.741, 0.149) and O at (0.492, 0.108, 0.583).

=====

(9)
This record from Alexandria describes a relaxed structure of SrI2O6. The functional is PBEsol.

As for the uncorrected energy: -5.157 eV/atom. Its offset from the most stable computed form is 0.38 eV/f.u. The raw formation energy is -1.06 eV/atom.

It has space group P2_1 (No. 4), with a = 6.424 Å, b = 3.963 Å, c = 10.735 Å, α = 90.00°, β = 93.79° and γ = 90.00°. The inequivalent atoms are Sr at (0.204, 0.000, 0.245), I at (0.277, 0.326, 0.569), I at (0.288, 0.865, 0.892), O at (0.022, 0.025, 0.855), O at (0.145, 0.582, 0.682), O at (0.165, 0.525, 0.425), O at (0.336, 0.122, 0.033), O at (0.455, 0.098, 0.790) and O at (0.482, 0.073, 0.408).

=====

(10)
This record from Alexandria describes a relaxed structure of SrTcI2O. The functional is PBEsol.

As for the uncorrected energy: -4.102 eV/atom. The raw formation energy is 0.28 eV/atom.

It has space group P4/mmm (No. 123), with a = 6.195 Å, b = 6.195 Å, c = 4.187 Å, α = 90.00°, β = 90.00° and γ = 90.00°. The inequivalent atoms are Sr at (0.000, 0.000, 0.000), Tc at (0.500, 0.500, 0.500), I at (0.000, 0.500, 0.000) and O at (0.000, 0.000, 0.500).

=====

(11)
This record from Alexandria describes a relaxed structure of Sr2TlIO. The functional is PBEsol.

As for the uncorrected energy: -2.477 eV/atom. The raw formation energy is 0.19 eV/atom.

It has space group P4/mmm (No. 123), with a = 6.247 Å, b = 6.247 Å, c = 5.936 Å, α = 90.00°, β = 90.00° and γ = 90.00°. The inequivalent atoms are Sr at (0.000, 0.500, 0.000), Tl at (0.000, 0.000, 0.000), I at (0.000, 0.000, 0.500) and O at (0.500, 0.500, 0.500).

=====

(12)
This record from Alexandria describes a relaxed structure of Ta4Te9I4O. The functional is PBEsol.

As for the uncorrected energy: -5.735 eV/atom. The raw formation energy is -0.50 eV/atom.

It has space group C2/c (No. 15), with a = 21.818 Å, b = 6.126 Å, c = 20.201 Å, α = 90.00°, β = 121.74° and γ = 90.00°. The inequivalent atoms are Ta at (0.065, 0.048, 0.362), Ta at (0.076, 0.286, 0.237), Te at (0.000, 0.352, 0.750), Te at (0.019, 0.356, 0.428), Te at (0.062, 0.017, 0.626), Te at (0.172, 0.356, 0.402), Te at (0.181, 0.018, 0.834), I at (0.141, 0.212, 0.994), I at (0.174, 0.454, 0.722) and O at (0.000, 0.101, 0.250).